Entry from Alexandria: a PBEsol-optimized structure of Sb3Au2 (SCAN).

Cell lengths 13.986, 16.617, 4.236 Å; angles 90.00, 90.00, 90.00 degrees
Space group Fdd2 (No. 43)
Symmetry-distinct sites (fractional):
Sb 0.000 0.000 0.000 [8 per cell]
Sb 0.005 0.160 0.653 [16 per cell]
Au 0.116 0.297 0.680 [16 per cell]

Values from the calculation:
N(E_F) ... 2.1 states/eV/f.u.
Size of the total moment ... 0.000 μB per cell
E_form (uncorrected) ... -83.3 meV per atom